a:
This record from OQMD describes crystalline ZnCuNiPd at its relaxed geometry. The functional is PBE. Values from VASP.

```
&SYSTEM
  ibrav = 0, nat = 4, ntyp = 4
/
ATOMIC_SPECIES
Zn 65.41 Zn.upf
Cu 63.55 Cu.upf
Ni 58.69 Ni.upf
Pd 106.42 Pd.upf
CELL_PARAMETERS angstrom
0.000 2.963 2.963
2.963 0.000 2.963
2.963 2.963 0.000
ATOMIC_POSITIONS crystal
Zn 0.000 0.000 0.000
Cu 0.250 0.250 0.250
Ni 0.750 0.750 0.750
Pd 0.500 0.500 0.500
```

## Properties
Volume = 52 Å³/f.u.
Total magnetization = 0.0 μB per cell
Crystal system = cubic

b:
This record from OQMD describes crystalline ZnCuNiPd at its relaxed geometry. The functional is PBE. Values from VASP.

```
&SYSTEM
  ibrav = 0, nat = 4, ntyp = 4
/
ATOMIC_SPECIES
Zn 65.41 Zn.upf
Cu 63.55 Cu.upf
Ni 58.69 Ni.upf
Pd 106.42 Pd.upf
CELL_PARAMETERS angstrom
0.000 2.960 2.960
2.960 0.000 2.960
2.960 2.960 0.000
ATOMIC_POSITIONS crystal
Zn 0.000 0.000 0.000
Cu 0.250 0.250 0.250
Ni 0.500 0.500 0.500
Pd 0.750 0.750 0.750
```

## Properties
Volume = 52 Å³/f.u.
Total magnetization = 0.0 μB per cell
Crystal system = cubic

In terms of stability, b leads; the second structure lies 11 meV per atom higher.

a:
This record from OQMD describes crystalline PmCuNi at its relaxed geometry. The functional is PBE. Values from VASP.

```
&SYSTEM
  ibrav = 0, nat = 3, ntyp = 3
/
ATOMIC_SPECIES
Pm 145.00 Pm.upf
Cu 63.55 Cu.upf
Ni 58.69 Ni.upf
CELL_PARAMETERS angstrom
0.000 3.109 3.109
3.109 0.000 3.109
3.109 3.109 0.000
ATOMIC_POSITIONS crystal
Pm 0.000 0.000 0.000
Cu 0.750 0.750 0.750
Ni 0.500 0.500 0.500
```

## Properties
Volume = 60 Å³/f.u.
Total magnetization = 0.0 μB per cell
Crystal system = cubic

b:
This record from OQMD describes crystalline PmCuNi at its relaxed geometry. The functional is PBE. Values from VASP.

```
&SYSTEM
  ibrav = 0, nat = 3, ntyp = 3
/
ATOMIC_SPECIES
Pm 145.00 Pm.upf
Cu 63.55 Cu.upf
Ni 58.69 Ni.upf
CELL_PARAMETERS angstrom
0.000 3.218 3.218
3.218 0.000 3.218
3.218 3.218 0.000
ATOMIC_POSITIONS crystal
Pm 0.000 0.000 0.000
Cu 0.750 0.750 0.750
Ni 0.250 0.250 0.250
```

## Properties
Volume = 67 Å³/f.u.
Total magnetization = 0.0 μB per cell
Crystal system = cubic

In terms of stability, a leads; the second structure lies 365 meV per atom higher.

a:
This record from OQMD describes crystalline RbCuNiW at its relaxed geometry. The functional is PBE. Values from VASP.

```
&SYSTEM
  ibrav = 0, nat = 4, ntyp = 4
/
ATOMIC_SPECIES
Rb 85.47 Rb.upf
Cu 63.55 Cu.upf
Ni 58.69 Ni.upf
W 183.84 W.upf
CELL_PARAMETERS angstrom
0.000 3.348 3.348
3.348 0.000 3.348
3.348 3.348 0.000
ATOMIC_POSITIONS crystal
Rb 0.000 0.000 0.000
Cu 0.750 0.750 0.750
Ni 0.250 0.250 0.250
W 0.500 0.500 0.500
```

## Properties
Volume = 75 Å³/f.u.
Total magnetization = 2.7 μB per cell
Crystal system = cubic

b:
This record from OQMD describes crystalline RbCuNiW at its relaxed geometry. The functional is PBE. Values from VASP.

```
&SYSTEM
  ibrav = 0, nat = 4, ntyp = 4
/
ATOMIC_SPECIES
Rb 85.47 Rb.upf
Cu 63.55 Cu.upf
Ni 58.69 Ni.upf
W 183.84 W.upf
CELL_PARAMETERS angstrom
0.000 3.221 3.221
3.221 0.000 3.221
3.221 3.221 0.000
ATOMIC_POSITIONS crystal
Rb 0.000 0.000 0.000
Cu 0.500 0.500 0.500
Ni 0.750 0.750 0.750
W 0.250 0.250 0.250
```

## Properties
Volume = 67 Å³/f.u.
Total magnetization = 0.0 μB per cell
Crystal system = cubic

c:
This record from OQMD describes crystalline RbCuNiW at its relaxed geometry. The functional is PBE. Values from VASP.

```
&SYSTEM
  ibrav = 0, nat = 4, ntyp = 4
/
ATOMIC_SPECIES
Rb 85.47 Rb.upf
Cu 63.55 Cu.upf
Ni 58.69 Ni.upf
W 183.84 W.upf
CELL_PARAMETERS angstrom
0.000 3.238 3.238
3.238 0.000 3.238
3.238 3.238 0.000
ATOMIC_POSITIONS crystal
Rb 0.000 0.000 0.000
Cu 0.750 0.750 0.750
Ni 0.500 0.500 0.500
W 0.250 0.250 0.250
```

## Properties
Volume = 68 Å³/f.u.
Total magnetization = 0.0 μB per cell
Crystal system = cubic

In terms of stability, a leads; the second structure lies 45 meV per atom higher.

a:
This record from OQMD describes crystalline CuReNiSb at its relaxed geometry. The functional is PBE. Values from VASP.

```
&SYSTEM
  ibrav = 0, nat = 4, ntyp = 4
/
ATOMIC_SPECIES
Cu 63.55 Cu.upf
Re 186.21 Re.upf
Ni 58.69 Ni.upf
Sb 121.76 Sb.upf
CELL_PARAMETERS angstrom
0.000 3.098 3.098
3.098 0.000 3.098
3.098 3.098 0.000
ATOMIC_POSITIONS crystal
Cu 0.000 0.000 0.000
Re 0.500 0.500 0.500
Ni 0.250 0.250 0.250
Sb 0.750 0.750 0.750
```

## Properties
Volume = 59 Å³/f.u.
Total magnetization = 0.0 μB per cell
Crystal system = cubic

b:
This record from OQMD describes crystalline CuReNiSb at its relaxed geometry. The functional is PBE. Values from VASP.

```
&SYSTEM
  ibrav = 0, nat = 4, ntyp = 4
/
ATOMIC_SPECIES
Cu 63.55 Cu.upf
Re 186.21 Re.upf
Ni 58.69 Ni.upf
Sb 121.76 Sb.upf
CELL_PARAMETERS angstrom
0.000 3.074 3.074
3.074 0.000 3.074
3.074 3.074 0.000
ATOMIC_POSITIONS crystal
Cu 0.000 0.000 0.000
Re 0.250 0.250 0.250
Ni 0.500 0.500 0.500
Sb 0.750 0.750 0.750
```

## Properties
Volume = 58 Å³/f.u.
Total magnetization = 0.0 μB per cell
Crystal system = cubic

In terms of stability, a leads; the second structure lies 219 meV per atom higher.